Below is crystalline Sr3CoO at its relaxed geometry, with properties calculated at the GGA+U level.

The structure in POSCAR format:
```
Sr3CoO
1.0
5.181 0.000 0.000
0.000 5.181 0.000
0.000 0.000 5.181
Sr Co O
3 1 1
direct
0.000 0.000 0.500 Sr
0.000 0.500 0.000 Sr
0.500 0.000 0.000 Sr
0.500 0.500 0.500 Co
0.000 0.000 0.000 O
```

Computed properties:
**Total magnetic moment**: 1.5 Bohr magnetons per cell
**Distance to the lowest polymorph of the same formula**: 0 meV per atom
**DOS at the Fermi energy**: 3.20 states/eV/cell